First-principles (PBE+U) data for crystalline Sr2Fe2O at its relaxed geometry, as listed in the Alexandria database.

Cell lengths 6.4888, 6.4888, 5.6827 Å; angles 55.19, 55.19, 90.00 degrees
Last column: nearest neighbours and their distance in Å.
Positions (direct):
Sr: 0.7500 0.2500 0.5000  4 Fe 3.25, 2 Sr 3.35
Sr: 0.2500 0.7500 0.5000  4 Fe 3.25, 2 Sr 3.35
Fe: 0.2850 0.2850 0.4301  1 O 1.91
Fe: 0.7150 0.7150 0.5699  1 O 1.91
O: 0.0000 0.0000 0.0000  2 Fe 1.91

Summary:
For the density, the calculation gives 3.56 Mg/m³. The value obtained for the calculated volume is 141.2 Å³ per cell. The space group is I4/mmm (139). For the energy, the calculation gives -3.770 eV/atom. The distance to the lowest polymorph of the same formula is 395 meV per atom.